An optimized crystal structure of InNiMoPd. Source: OQMD via LeMat-Bulk, functional PBE.

Lattice parameters (Å, degrees): 4.468 4.468 4.468 60.00 60.00 60.00
Fractional positions:
In1 0.000 0.000 0.000
Mo1 0.500 0.500 0.500
Ni1 0.750 0.750 0.750
Pd1 0.250 0.250 0.250

Computed properties:
Distance to the lowest polymorph of the same formula (meV per atom): 0